Material: TlI2N2
Method: DFT, GGA-PBE
State: optimized geometry

Unit cell a=4.708 b=4.708 c=6.719 alpha=90.00 beta=90.00 gamma=90.00
Element x y z (fractional)
1 Tl 0.000 0.000 0.000
2 I 0.000 0.000 0.500
3 I 0.500 0.500 0.500
4 N 0.000 0.500 0.000
5 N 0.500 0.000 0.000

- crystal system = tetragonal
- size of the total moment (μB per atom) = 0.7571
- volume (Å³/cell) = 148.9
- SG = P4/mmm
- polymorph energy (0 for the lowest one) (eV per formula unit) = 9.22
- E_form (uncorrected) (eV/atom) = 1.703